Run a
DFT (PBE-GGA) results for a geometry-optimized NaHf2Ru structure.

a = 6.176 Å, b = 6.176 Å, c = 6.176 Å
α = 103.68°, β = 103.68°, γ = 121.81°
Sites, in units of the cell vectors:
Na  0.000  0.000  0.000
Na  0.750  0.250  0.500
Hf  0.176  0.625  0.051
Hf  0.375  0.426  0.551
Hf  0.574  0.125  0.949
Hf  0.875  0.824  0.449
Ru  0.250  0.750  0.500
Ru  0.500  0.500  0.000

=====

Run b
DFT (PBE-GGA) results for a geometry-optimized NaHf2Ru structure.

a = 4.739 Å, b = 4.739 Å, c = 4.739 Å
α = 60.00°, β = 60.00°, γ = 60.00°
Sites, in units of the cell vectors:
Na  0.000  0.000  0.000
Hf  0.250  0.250  0.250
Hf  0.750  0.750  0.750
Ru  0.500  0.500  0.500

=====

The data favor run b; the next most stable structure lies 0.377 eV/atom above it.

=====

Run a
DFT (PBE-GGA) results for a geometry-optimized Na3HfS structure.

a = 6.004 Å, b = 6.004 Å, c = 6.004 Å
α = 90.00°, β = 90.00°, γ = 90.00°
Sites, in units of the cell vectors:
Na  0.000  0.000  0.500
Na  0.000  0.500  0.000
Na  0.500  0.000  0.000
Hf  0.000  0.000  0.000
S  0.500  0.500  0.500

=====

Run b
DFT (PBE-GGA) results for a geometry-optimized Na3HfS structure.

a = 5.326 Å, b = 5.326 Å, c = 5.326 Å
α = 90.00°, β = 90.00°, γ = 90.00°
Sites, in units of the cell vectors:
Na  0.000  0.000  0.500
Na  0.000  0.500  0.000
Na  0.500  0.000  0.000
Hf  0.500  0.500  0.500
S  0.000  0.000  0.000

=====

The data favor run b; the next most stable structure lies 0.911 eV/atom above it.

=====

Run a
DFT (PBE-GGA) results for a geometry-optimized NaHfSb2 structure.

a = 8.819 Å, b = 8.819 Å, c = 8.819 Å
α = 136.24°, β = 136.24°, γ = 63.61°
Sites, in units of the cell vectors:
Na  0.000  0.000  0.000
Na  0.750  0.250  0.500
Hf  0.250  0.750  0.500
Hf  0.500  0.500  0.000
Sb  0.194  0.625  0.069
Sb  0.375  0.444  0.569
Sb  0.556  0.125  0.931
Sb  0.875  0.806  0.431

=====

Run b
DFT (PBE-GGA) results for a geometry-optimized NaHfSb2 structure.

a = 8.729 Å, b = 8.729 Å, c = 8.729 Å
α = 25.91°, β = 25.91°, γ = 25.91°
Sites, in units of the cell vectors:
Na  0.000  0.000  0.000
Hf  0.833  0.833  0.833
Sb  0.240  0.240  0.240
Sb  0.427  0.427  0.427

=====

Run c
DFT (PBE-GGA) results for a geometry-optimized NaHfSb2 structure.

a = 3.446 Å, b = 3.446 Å, c = 8.507 Å
α = 90.00°, β = 90.00°, γ = 90.00°
Sites, in units of the cell vectors:
Na  0.000  0.000  0.000
Hf  0.000  0.000  0.500
Sb  0.500  0.500  0.279
Sb  0.500  0.500  0.721

=====

The data favor run b; the next most stable structure lies 0.036 eV/atom above it.

=====

Run a
DFT (PBE-GGA) results for a geometry-optimized Na3HfSc structure.

a = 5.762 Å, b = 5.762 Å, c = 5.762 Å
α = 90.00°, β = 90.00°, γ = 90.00°
Sites, in units of the cell vectors:
Na  0.000  0.000  0.500
Na  0.000  0.500  0.000
Na  0.500  0.000  0.000
Hf  0.000  0.000  0.000
Sc  0.500  0.500  0.500

=====

Run b
DFT (PBE-GGA) results for a geometry-optimized Na3HfSc structure.

a = 5.417 Å, b = 5.417 Å, c = 5.417 Å
α = 90.00°, β = 90.00°, γ = 90.00°
Sites, in units of the cell vectors:
Na  0.000  0.000  0.500
Na  0.000  0.500  0.000
Na  0.500  0.000  0.000
Hf  0.500  0.500  0.500
Sc  0.000  0.000  0.000

=====

The data favor run b; the next most stable structure lies 0.009 eV/atom above it.

=====

Run a
DFT (PBE-GGA) results for a geometry-optimized NaHfSe3 structure.

a = 5.221 Å, b = 7.677 Å, c = 7.726 Å
α = 101.40°, β = 90.01°, γ = 109.88°
Sites, in units of the cell vectors:
Na  0.138  0.277  0.359
Na  0.862  0.723  0.641
Hf  0.352  0.704  0.124
Hf  0.648  0.296  0.876
Se  0.169  0.338  0.955
Se  0.351  0.702  0.440
Se  0.461  0.922  0.838
Se  0.539  0.078  0.162
Se  0.649  0.298  0.560
Se  0.831  0.662  0.045

=====

Run b
DFT (PBE-GGA) results for a geometry-optimized NaHfSe3 structure.

a = 4.940 Å, b = 4.940 Å, c = 4.940 Å
α = 90.00°, β = 90.00°, γ = 90.00°
Sites, in units of the cell vectors:
Na  0.000  0.000  0.000
Hf  0.500  0.500  0.500
Se  0.000  0.000  0.500
Se  0.000  0.500  0.000
Se  0.500  0.000  0.000

=====

The data favor run a; the next most stable structure lies 1.600 eV/atom above it.

=====

Run a
DFT (PBE-GGA) results for a geometry-optimized NaHf2Se4 structure.

a = 8.256 Å, b = 8.256 Å, c = 6.489 Å
α = 112.29°, β = 112.29°, γ = 26.43°
Sites, in units of the cell vectors:
Na  0.000  0.000  0.000
Hf  0.252  0.252  0.258
Hf  0.748  0.748  0.742
Se  0.140  0.140  0.479
Se  0.357  0.357  0.019
Se  0.643  0.643  0.981
Se  0.860  0.860  0.521

=====

Run b
DFT (PBE-GGA) results for a geometry-optimized NaHf2Se4 structure.

a = 6.637 Å, b = 6.637 Å, c = 13.466 Å
α = 90.00°, β = 90.00°, γ = 146.28°
Sites, in units of the cell vectors:
Na  0.111  0.889  0.750
Na  0.889  0.111  0.250
Hf  0.369  0.631  0.566
Hf  0.369  0.631  0.934
Hf  0.631  0.369  0.066
Hf  0.631  0.369  0.434
Se  0.000  0.000  0.000
Se  0.000  0.000  0.500
Se  0.273  0.727  0.114
Se  0.273  0.727  0.386
Se  0.436  0.564  0.750
Se  0.564  0.436  0.250
Se  0.727  0.273  0.614
Se  0.727  0.273  0.886

=====

The data favor run a; the next most stable structure lies 0.097 eV/atom above it.

=====

Run a
DFT (PBE-GGA) results for a geometry-optimized Na3HfSe structure.

a = 5.494 Å, b = 5.494 Å, c = 5.494 Å
α = 90.00°, β = 90.00°, γ = 90.00°
Sites, in units of the cell vectors:
Na  0.000  0.000  0.500
Na  0.000  0.500  0.000
Na  0.500  0.000  0.000
Hf  0.500  0.500  0.500
Se  0.000  0.000  0.000

=====

Run b
DFT (PBE-GGA) results for a geometry-optimized Na3HfSe structure.

a = 5.997 Å, b = 5.997 Å, c = 5.997 Å
α = 90.00°, β = 90.00°, γ = 90.00°
Sites, in units of the cell vectors:
Na  0.000  0.000  0.500
Na  0.000  0.500  0.000
Na  0.500  0.000  0.000
Hf  0.000  0.000  0.000
Se  0.500  0.500  0.500

=====

The data favor run a; the next most stable structure lies 0.758 eV/atom above it.

=====

Run a
DFT (PBE-GGA) results for a geometry-optimized Na3HfSi structure.

a = 5.410 Å, b = 5.410 Å, c = 5.410 Å
α = 90.00°, β = 90.00°, γ = 90.00°
Sites, in units of the cell vectors:
Na  0.000  0.000  0.500
Na  0.000  0.500  0.000
Na  0.500  0.000  0.000
Hf  0.500  0.500  0.500
Si  0.000  0.000  0.000

=====

Run b
DFT (PBE-GGA) results for a geometry-optimized Na3HfSi structure.

a = 5.927 Å, b = 5.927 Å, c = 5.927 Å
α = 90.00°, β = 90.00°, γ = 90.00°
Sites, in units of the cell vectors:
Na  0.000  0.000  0.500
Na  0.000  0.500  0.000
Na  0.500  0.000  0.000
Hf  0.000  0.000  0.000
Si  0.500  0.500  0.500

=====

The data favor run a; the next most stable structure lies 0.620 eV/atom above it.

=====

Run a
DFT (PBE-GGA) results for a geometry-optimized NaHf3Si structure.

a = 4.849 Å, b = 4.849 Å, c = 4.849 Å
α = 90.00°, β = 90.00°, γ = 90.00°
Sites, in units of the cell vectors:
Na  0.000  0.000  0.000
Hf  0.000  0.000  0.500
Hf  0.000  0.500  0.000
Hf  0.500  0.000  0.000
Si  0.500  0.500  0.500

=====

Run b
DFT (PBE-GGA) results for a geometry-optimized NaHf3Si structure.

a = 5.011 Å, b = 5.011 Å, c = 5.011 Å
α = 90.00°, β = 90.00°, γ = 90.00°
Sites, in units of the cell vectors:
Na  0.000  0.000  0.000
Hf  0.000  0.500  0.500
Hf  0.500  0.000  0.500
Hf  0.500  0.500  0.000
Si  0.500  0.500  0.500

=====

The data favor run b; the next most stable structure lies 1.131 eV/atom above it.

=====

Run a
DFT (PBE-GGA) results for a geometry-optimized Na3HfSn structure.

a = 5.687 Å, b = 5.687 Å, c = 5.687 Å
α = 90.00°, β = 90.00°, γ = 90.00°
Sites, in units of the cell vectors:
Na  0.000  0.000  0.500
Na  0.000  0.500  0.000
Na  0.500  0.000  0.000
Hf  0.500  0.500  0.500
Sn  0.000  0.000  0.000

=====

Run b
DFT (PBE-GGA) results for a geometry-optimized Na3HfSn structure.

a = 5.880 Å, b = 5.880 Å, c = 5.880 Å
α = 90.00°, β = 90.00°, γ = 90.00°
Sites, in units of the cell vectors:
Na  0.000  0.000  0.500
Na  0.000  0.500  0.000
Na  0.500  0.000  0.000
Hf  0.000  0.000  0.000
Sn  0.500  0.500  0.500

=====

The data favor run a; the next most stable structure lies 0.356 eV/atom above it.

=====

Run a
DFT (PBE-GGA) results for a geometry-optimized NaSr2Hf structure.

a = 5.945 Å, b = 5.945 Å, c = 5.945 Å
α = 60.00°, β = 60.00°, γ = 60.00°
Sites, in units of the cell vectors:
Na  0.000  0.000  0.000
Sr  0.250  0.250  0.250
Sr  0.750  0.750  0.750
Hf  0.500  0.500  0.500

=====

Run b
DFT (PBE-GGA) results for a geometry-optimized NaSr2Hf structure.

a = 7.418 Å, b = 7.418 Å, c = 7.418 Å
α = 103.84°, β = 103.84°, γ = 121.43°
Sites, in units of the cell vectors:
Na  0.000  0.000  0.000
Na  0.750  0.250  0.500
Sr  0.110  0.625  0.985
Sr  0.375  0.360  0.485
Sr  0.640  0.125  0.015
Sr  0.875  0.890  0.515
Hf  0.250  0.750  0.500
Hf  0.500  0.500  0.000

=====

The data favor run a; the next most stable structure lies 0.229 eV/atom above it.

=====

Run a
DFT (PBE-GGA) results for a geometry-optimized Na2HfTc structure.

a = 12.181 Å, b = 12.181 Å, c = 12.181 Å
α = 162.10°, β = 162.10°, γ = 25.42°
Sites, in units of the cell vectors:
Na  0.112  0.625  0.987
Na  0.375  0.362  0.487
Na  0.638  0.125  0.013
Na  0.875  0.888  0.513
Hf  0.250  0.750  0.500
Hf  0.500  0.500  0.000
Tc  0.000  0.000  0.000
Tc  0.750  0.250  0.500

=====

Run b
DFT (PBE-GGA) results for a geometry-optimized Na2HfTc structure.

a = 4.860 Å, b = 4.860 Å, c = 4.860 Å
α = 60.00°, β = 60.00°, γ = 60.00°
Sites, in units of the cell vectors:
Na  0.250  0.250  0.250
Na  0.750  0.750  0.750
Hf  0.000  0.000  0.000
Tc  0.500  0.500  0.500

=====

The data favor run a; the next most stable structure lies 0.647 eV/atom above it.

=====

Run a
DFT (PBE-GGA) results for a geometry-optimized Na2HfTc2 structure.

a = 11.489 Å, b = 11.489 Å, c = 11.489 Å
α = 163.15°, β = 163.15°, γ = 23.92°
Sites, in units of the cell vectors:
Na  0.124  0.124  0.000
Na  0.876  0.876  0.000
Hf  0.500  0.500  0.000
Tc  0.250  0.750  0.500
Tc  0.750  0.250  0.500

=====

Run b
DFT (PBE-GGA) results for a geometry-optimized Na2HfTc2 structure.

a = 8.449 Å, b = 8.449 Å, c = 2.617 Å
α = 90.00°, β = 90.00°, γ = 90.00°
Sites, in units of the cell vectors:
Na  0.104  0.396  0.000
Na  0.396  0.896  0.000
Na  0.604  0.104  0.000
Na  0.896  0.604  0.000
Hf  0.000  0.000  0.000
Hf  0.500  0.500  0.000
Tc  0.197  0.697  0.500
Tc  0.303  0.197  0.500
Tc  0.697  0.803  0.500
Tc  0.803  0.303  0.500

=====

The data favor run a; the next most stable structure lies 0.119 eV/atom above it.